A | Density functional theory data (PBE) for ScZnCl2 after structural relaxation.

The total moment comes out at 0.231 μB/atom.

The structure in CIF format:
```
data_ScZnCl2
_chemical_formula_sum 'Sc2 Zn2 Cl4'
_cell_length_a 4.579
_cell_length_b 4.579
_cell_length_c 7.611
_cell_angle_alpha 90.00
_cell_angle_beta 90.00
_cell_angle_gamma 90.00
_space_group_name_H-M_alt 'I 4/m m m'
_space_group_IT_number 139
_space_group_name_Hall '-I 4 2'
loop_
_atom_site_label
_atom_site_type_symbol
_atom_site_fract_x
_atom_site_fract_y
_atom_site_fract_z
Sc1 Sc 0.000 0.000 0.000
Zn1 Zn 0.000 0.000 0.500
Cl1 Cl 0.000 0.500 0.250
```

***

B | Density functional theory data (PBE) for ScZnCl2 after structural relaxation.

The total moment comes out at 0.000 μB/atom.

The structure in CIF format:
```
data_ScZnCl2
_chemical_formula_sum 'Sc1 Zn1 Cl2'
_cell_length_a 3.589
_cell_length_b 3.597
_cell_length_c 9.939
_cell_angle_alpha 90.00
_cell_angle_beta 90.33
_cell_angle_gamma 90.00
_space_group_name_H-M_alt 'P 1 2/m 1'
_space_group_IT_number 10
_space_group_name_Hall '-P 2y'
loop_
_atom_site_label
_atom_site_type_symbol
_atom_site_fract_x
_atom_site_fract_y
_atom_site_fract_z
Sc1 Sc 0.000 0.000 0.000
Zn1 Zn 0.500 0.000 0.500
Cl1 Cl 0.003 0.500 0.173
```

***

Among the structures above, stability is smallest for A.